Crystalline Zn2SbIr at its relaxed geometry. Source: Alexandria via LeMat-Bulk, functional GGA-PBE.

The structure in POSCAR format:
```
Zn2SbIr
1.0
-2.540 -3.391 2.137
-0.541 -1.953 4.291
-3.721 2.654 1.680
Ir Zn Sb
1 2 1
Direct
0.750 0.750 0.750
0.014 0.014 0.951
0.486 0.486 0.549
0.250 0.250 0.250
```

Summary:
M_tot   0.00 μB/f.u.
Volume   70 Å³/cell
Energy relative to the elements, uncorrected   0.0922 eV/atom

=====

Crystalline Sr2TmRh9 at its relaxed geometry. Source: Alexandria via LeMat-Bulk, functional GGA-PBE.

The structure in POSCAR format:
```
Sr2TmRh9
1.0
5.099 0.000 1.517
2.324 4.539 1.517
-0.035 -0.022 9.444
Rh Sr Tm
9 2 1
Direct
0.577 0.577 0.763
0.577 0.083 0.763
0.332 0.332 0.003
0.500 0.500 0.500
0.917 0.423 0.237
0.668 0.668 0.997
0.083 0.577 0.763
0.423 0.917 0.237
0.423 0.423 0.237
0.859 0.859 0.422
0.141 0.141 0.578
0.000 0.000 0.000
```

Summary:
M_tot   0.00 μB/f.u.
Volume   219 Å³/cell
Energy   -77.332 eV per formula unit

=====

Crystalline Li3Mn at its relaxed geometry. Source: Alexandria via LeMat-Bulk, functional GGA-PBE.

The structure in POSCAR format:
```
Li3Mn
1.0
2.403 0.000 0.000
0.000 2.403 0.000
0.000 0.000 9.386
Li Mn
3 1
Direct
0.500 0.500 0.250
0.000 0.000 0.523
0.000 0.000 0.977
0.500 0.500 0.750
```

Summary:
M_tot   0.00 μB/f.u.
Volume   54 Å³/cell
Energy   -13.627 eV per formula unit

=====

Crystalline Pm7Nd2Sm2 at its relaxed geometry. Source: Alexandria via LeMat-Bulk, functional GGA-PBE.

The structure in POSCAR format:
```
Pm7Nd2Sm2
1.0
7.953 4.962 -2.560
2.181 9.116 -2.560
-3.010 -4.181 7.795
Nd Pm Sm
2 7 2
Direct
0.241 0.241 0.012
0.759 0.759 0.988
0.508 0.508 0.185
0.477 0.015 0.666
0.492 0.492 0.815
0.015 0.477 0.666
0.000 0.000 0.000
0.523 0.985 0.334
0.985 0.523 0.334
0.752 0.248 0.500
0.248 0.752 0.500
```

Summary:
M_tot   0.00 μB/f.u.
Volume   387 Å³/cell
Energy   -50.329 eV per formula unit

=====

Question: What is the formula in the second record?
Answer: Sr2TmRh9

=====

Copy entry 4 word for word.
Crystalline Pm7Nd2Sm2 at its relaxed geometry. Source: Alexandria via LeMat-Bulk, functional GGA-PBE.

The structure in POSCAR format:
```
Pm7Nd2Sm2
1.0
7.953 4.962 -2.560
2.181 9.116 -2.560
-3.010 -4.181 7.795
Nd Pm Sm
2 7 2
Direct
0.241 0.241 0.012
0.759 0.759 0.988
0.508 0.508 0.185
0.477 0.015 0.666
0.492 0.492 0.815
0.015 0.477 0.666
0.000 0.000 0.000
0.523 0.985 0.334
0.985 0.523 0.334
0.752 0.248 0.500
0.248 0.752 0.500
```

Summary:
M_tot   0.00 μB/f.u.
Volume   387 Å³/cell
Energy   -50.329 eV per formula unit